# 1
DFT (PBE-GGA) results for crystalline La5CeN4 at its relaxed geometry.

abc: 8.305 8.305 7.579
angles: 101.68 101.68 25.45
Sites, in units of the cell vectors:
La: 0.000 0.000 0.000
La: 0.336 0.336 0.654
La: 0.345 0.345 0.198
La: 0.655 0.655 0.802
La: 0.664 0.664 0.346
Ce: 0.000 0.000 0.500
N: 0.160 0.160 0.575
N: 0.500 0.500 0.266
N: 0.500 0.500 0.734
N: 0.840 0.840 0.425

Properties
For the uncorrected formation energy, the calculation gives -10.905 eV per formula unit. The value obtained for the raw total energy is -74.78 eV/cell. Its total moment is 0.00 μB/cell.

***

# 2
DFT (PBE-GGA) results for crystalline La4Ce2N at its relaxed geometry.

abc: 4.988 4.988 17.406
angles: 90.00 90.00 90.00
Sites, in units of the cell vectors:
La: 0.000 0.000 0.147
La: 0.000 0.000 0.853
La: 0.000 0.500 0.000
La: 0.000 0.500 0.500
La: 0.500 0.000 0.000
La: 0.500 0.000 0.500
La: 0.500 0.500 0.353
La: 0.500 0.500 0.647
Ce: 0.000 0.000 0.318
Ce: 0.000 0.000 0.682
Ce: 0.500 0.500 0.182
Ce: 0.500 0.500 0.818
N: 0.000 0.000 0.000
N: 0.500 0.500 0.500

Properties
For the uncorrected formation energy, the calculation gives -1.035 eV per formula unit. The value obtained for the raw total energy is -81.88 eV/cell. Its total moment is 4.52 μB/cell.

***

# 3
DFT (PBE-GGA) results for crystalline LaCe5N6 at its relaxed geometry.

abc: 6.228 6.228 6.227
angles: 99.59 99.59 119.98
Sites, in units of the cell vectors:
La: 0.000 0.000 0.000
Ce: 0.167 0.833 0.500
Ce: 0.333 0.667 0.000
Ce: 0.500 0.500 0.500
Ce: 0.667 0.333 0.000
Ce: 0.833 0.167 0.500
N: 0.086 0.434 0.258
N: 0.263 0.263 0.744
N: 0.434 0.086 0.258
N: 0.566 0.914 0.742
N: 0.737 0.737 0.256
N: 0.914 0.566 0.742

Properties
For the uncorrected formation energy, the calculation gives -17.626 eV per formula unit. The value obtained for the raw total energy is -102.18 eV/cell. Its total moment is 0.99 μB/cell.

***

# 4
DFT (PBE-GGA) results for crystalline LaCe2N4 at its relaxed geometry.

abc: 7.105 7.105 7.105
angles: 119.74 119.74 90.46
Sites, in units of the cell vectors:
La: 0.375 0.625 0.750
La: 0.625 0.375 0.250
Ce: 0.000 0.000 0.000
Ce: 0.000 0.000 0.500
Ce: 0.000 0.500 0.000
Ce: 0.500 0.000 0.500
N: 0.205 0.235 0.970
N: 0.235 0.205 0.470
N: 0.235 0.765 0.030
N: 0.235 0.765 0.470
N: 0.765 0.235 0.530
N: 0.765 0.235 0.970
N: 0.765 0.795 0.530
N: 0.795 0.765 0.030

Properties
For the uncorrected formation energy, the calculation gives -8.054 eV per formula unit. The value obtained for the raw total energy is -116.30 eV/cell. Its total moment is 0.06 μB/cell.

***

# 5
DFT (PBE-GGA) results for crystalline La4CeN4 at its relaxed geometry.

abc: 7.102 7.102 7.102
angles: 130.34 130.34 72.86
Sites, in units of the cell vectors:
La: 0.000 0.500 0.500
La: 0.218 0.218 0.000
La: 0.500 0.000 0.500
La: 0.782 0.782 0.000
Ce: 0.500 0.500 0.000
N: 0.145 0.612 0.000
N: 0.388 0.388 0.533
N: 0.612 0.145 0.000
N: 0.855 0.855 0.467

Properties
For the uncorrected formation energy, the calculation gives -7.343 eV per formula unit. The value obtained for the raw total energy is -66.29 eV/cell. Its total moment is 3.63 μB/cell. The offset from the most stable computed form is 0.409 eV/atom.

***

# 6
DFT (PBE-GGA) results for crystalline NaLa2Ce3N6 at its relaxed geometry.

abc: 8.019 8.019 7.302
angles: 103.43 103.43 26.30
Sites, in units of the cell vectors:
Na: 0.000 0.000 0.000
La: 0.336 0.336 0.676
La: 0.664 0.664 0.324
Ce: 0.000 0.000 0.500
Ce: 0.337 0.337 0.163
Ce: 0.663 0.663 0.837
N: 0.165 0.165 0.595
N: 0.182 0.182 0.080
N: 0.493 0.493 0.287
N: 0.507 0.507 0.713
N: 0.818 0.818 0.920
N: 0.835 0.835 0.405

Properties
For the uncorrected formation energy, the calculation gives -15.117 eV per formula unit. The value obtained for the raw total energy is -94.04 eV/cell. Its total moment is 0.55 μB/cell.

***

# 7
DFT (PBE-GGA) results for crystalline La2Ce3NbN6 at its relaxed geometry.

abc: 6.161 6.161 6.053
angles: 99.72 99.72 120.00
Sites, in units of the cell vectors:
La: 0.167 0.833 0.000
La: 0.833 0.167 0.000
Ce: 0.000 0.000 0.500
Ce: 0.336 0.664 0.500
Ce: 0.664 0.336 0.500
Nb: 0.500 0.500 0.000
N: 0.124 0.419 0.757
N: 0.284 0.284 0.251
N: 0.419 0.124 0.757
N: 0.581 0.876 0.243
N: 0.716 0.716 0.749
N: 0.876 0.581 0.243

Properties
For the uncorrected formation energy, the calculation gives -16.165 eV per formula unit. The value obtained for the raw total energy is -103.84 eV/cell. Its total moment is 0.00 μB/cell.

***

# 8
DFT (PBE-GGA) results for crystalline LaCeNbN3 at its relaxed geometry.

abc: 7.576 3.549 7.994
angles: 90.00 93.97 90.00
Sites, in units of the cell vectors:
La: 0.152 0.250 0.160
La: 0.848 0.750 0.840
Ce: 0.381 0.750 0.838
Ce: 0.619 0.250 0.162
Nb: 0.116 0.250 0.587
Nb: 0.884 0.750 0.413
N: 0.124 0.250 0.843
N: 0.171 0.750 0.469
N: 0.398 0.750 0.114
N: 0.602 0.250 0.886
N: 0.829 0.250 0.531
N: 0.876 0.750 0.157

Properties
For the uncorrected formation energy, the calculation gives -6.421 eV per formula unit. The value obtained for the raw total energy is -104.66 eV/cell. Its total moment is 1.56 μB/cell.

***

# 9
DFT (PBE-GGA) results for crystalline La4Ce3NbN8 at its relaxed geometry.

abc: 7.197 7.197 7.197
angles: 59.16 59.16 59.16
Sites, in units of the cell vectors:
La: 0.000 0.000 0.000
La: 0.000 0.500 0.500
La: 0.500 0.000 0.500
La: 0.500 0.500 0.000
Ce: 0.000 0.000 0.500
Ce: 0.000 0.500 0.000
Ce: 0.500 0.000 0.000
Nb: 0.500 0.500 0.500
N: 0.241 0.241 0.241
N: 0.263 0.725 0.725
N: 0.275 0.275 0.737
N: 0.275 0.737 0.275
N: 0.725 0.263 0.725
N: 0.725 0.725 0.263
N: 0.737 0.275 0.275
N: 0.759 0.759 0.759

Properties
For the uncorrected formation energy, the calculation gives -21.632 eV per formula unit. The value obtained for the raw total energy is -135.82 eV/cell. Its total moment is 0.00 μB/cell.

***

# 10
DFT (PBE-GGA) results for crystalline La2CeNbN5 at its relaxed geometry.

abc: 7.427 7.427 10.995
angles: 90.00 90.00 151.94
Sites, in units of the cell vectors:
La: 0.112 0.888 0.500
La: 0.141 0.859 0.077
La: 0.859 0.141 0.577
La: 0.888 0.112 0.000
Ce: 0.217 0.783 0.800
Ce: 0.783 0.217 0.300
Nb: 0.490 0.510 0.269
Nb: 0.510 0.490 0.769
N: 0.050 0.950 0.838
N: 0.281 0.719 0.451
N: 0.306 0.694 0.173
N: 0.382 0.618 0.825
N: 0.491 0.509 0.595
N: 0.509 0.491 0.095
N: 0.618 0.382 0.325
N: 0.694 0.306 0.673
N: 0.719 0.281 0.951
N: 0.950 0.050 0.338

Properties
For the uncorrected formation energy, the calculation gives -11.551 eV per formula unit. The value obtained for the raw total energy is -158.07 eV/cell. Its total moment is 0.00 μB/cell.

***

# 11
DFT (PBE-GGA) results for crystalline LaCe2NbN4 at its relaxed geometry.

abc: 6.353 6.353 12.328
angles: 90.00 90.00 148.01
Sites, in units of the cell vectors:
La: 0.098 0.902 0.750
La: 0.902 0.098 0.250
Ce: 0.369 0.631 0.539
Ce: 0.369 0.631 0.961
Ce: 0.631 0.369 0.039
Ce: 0.631 0.369 0.461
Nb: 0.163 0.837 0.250
Nb: 0.837 0.163 0.750
N: 0.000 0.000 0.000
N: 0.000 0.000 0.500
N: 0.265 0.735 0.124
N: 0.265 0.735 0.376
N: 0.442 0.558 0.750
N: 0.558 0.442 0.250
N: 0.735 0.265 0.624
N: 0.735 0.265 0.876

Properties
For the uncorrected formation energy, the calculation gives -9.437 eV per formula unit. The value obtained for the raw total energy is -139.21 eV/cell. Its total moment is 2.50 μB/cell.

***

# 12
DFT (PBE-GGA) results for crystalline La2CeNbN4 at its relaxed geometry.

abc: 6.361 6.361 12.926
angles: 90.00 90.00 148.18
Sites, in units of the cell vectors:
La: 0.132 0.868 0.535
La: 0.132 0.868 0.965
La: 0.868 0.132 0.035
La: 0.868 0.132 0.465
Ce: 0.401 0.599 0.750
Ce: 0.599 0.401 0.250
Nb: 0.333 0.667 0.250
Nb: 0.667 0.333 0.750
N: 0.058 0.942 0.750
N: 0.228 0.772 0.137
N: 0.228 0.772 0.363
N: 0.500 0.500 0.000
N: 0.500 0.500 0.500
N: 0.772 0.228 0.637
N: 0.772 0.228 0.863
N: 0.942 0.058 0.250

Properties
For the uncorrected formation energy, the calculation gives -8.617 eV per formula unit. The value obtained for the raw total energy is -135.55 eV/cell. Its total moment is 1.75 μB/cell.

***

# 13
DFT (PBE-GGA) results for crystalline La3Ce2NbN6 at its relaxed geometry.

abc: 6.107 6.107 6.220
angles: 99.32 99.32 119.98
Sites, in units of the cell vectors:
La: 0.000 0.000 0.000
La: 0.335 0.665 0.000
La: 0.665 0.335 0.000
Ce: 0.167 0.833 0.500
Ce: 0.833 0.167 0.500
Nb: 0.500 0.500 0.500
N: 0.121 0.430 0.290
N: 0.263 0.263 0.718
N: 0.430 0.121 0.290
N: 0.570 0.879 0.710
N: 0.737 0.737 0.282
N: 0.879 0.570 0.710

Properties
For the uncorrected formation energy, the calculation gives -16.099 eV per formula unit. The value obtained for the raw total energy is -102.77 eV/cell. Its total moment is 0.00 μB/cell.

***

# 14
DFT (PBE-GGA) results for crystalline La2Ce3NdN6 at its relaxed geometry.

abc: 6.288 6.288 6.306
angles: 99.57 99.57 119.99
Sites, in units of the cell vectors:
La: 0.167 0.833 0.000
La: 0.833 0.167 0.000
Ce: 0.000 0.000 0.500
Ce: 0.334 0.666 0.500
Ce: 0.666 0.334 0.500
Nd: 0.500 0.500 0.000
N: 0.080 0.409 0.728
N: 0.261 0.261 0.272
N: 0.409 0.080 0.728
N: 0.591 0.920 0.272
N: 0.739 0.739 0.728
N: 0.920 0.591 0.272

Properties
For the uncorrected formation energy, the calculation gives -17.208 eV per formula unit. The value obtained for the raw total energy is -99.58 eV/cell. Its total moment is 0.00 μB/cell.

***

# 15
DFT (PBE-GGA) results for crystalline La2CeNdN4 at its relaxed geometry.

abc: 6.338 3.672 6.370
angles: 90.00 109.27 90.00
Sites, in units of the cell vectors:
La: 0.000 0.000 0.000
La: 0.500 0.500 0.000
Ce: 0.000 0.500 0.500
Nd: 0.500 0.000 0.500
N: 0.236 0.000 0.733
N: 0.243 0.500 0.263
N: 0.757 0.500 0.737
N: 0.764 0.000 0.267

Properties
For the uncorrected formation energy, the calculation gives -11.090 eV per formula unit. The value obtained for the raw total energy is -64.95 eV/cell. Its total moment is 0.00 μB/cell.

***

# 16
DFT (PBE-GGA) results for crystalline La3CeNd2N6 at its relaxed geometry.

abc: 6.366 6.366 6.391
angles: 99.57 99.57 119.97
Sites, in units of the cell vectors:
La: 0.000 0.000 0.000
La: 0.334 0.666 0.000
La: 0.666 0.334 0.000
Ce: 0.500 0.500 0.500
Nd: 0.167 0.833 0.500
Nd: 0.833 0.167 0.500
N: 0.102 0.421 0.262
N: 0.260 0.260 0.740
N: 0.421 0.102 0.262
N: 0.579 0.898 0.738
N: 0.740 0.740 0.260
N: 0.898 0.579 0.738

Properties
For the uncorrected formation energy, the calculation gives -16.563 eV per formula unit. The value obtained for the raw total energy is -96.77 eV/cell. Its total moment is 0.00 μB/cell.

***

# 17
DFT (PBE-GGA) results for crystalline La4Ce3NdN8 at its relaxed geometry.

abc: 7.331 7.331 7.331
angles: 59.75 59.75 59.75
Sites, in units of the cell vectors:
La: 0.000 0.000 0.000
La: 0.000 0.500 0.500
La: 0.500 0.000 0.500
La: 0.500 0.500 0.000
Ce: 0.000 0.000 0.500
Ce: 0.000 0.500 0.000
Ce: 0.500 0.000 0.000
Nd: 0.500 0.500 0.500
N: 0.235 0.748 0.748
N: 0.242 0.242 0.242
N: 0.252 0.252 0.765
N: 0.252 0.765 0.252
N: 0.748 0.235 0.748
N: 0.748 0.748 0.235
N: 0.758 0.758 0.758
N: 0.765 0.252 0.252

Properties
For the uncorrected formation energy, the calculation gives -22.500 eV per formula unit. The value obtained for the raw total energy is -131.38 eV/cell. Its total moment is 0.00 μB/cell.

***

# 18
DFT (PBE-GGA) results for crystalline LaCe2NiN4 at its relaxed geometry.

abc: 6.077 6.077 11.693
angles: 90.00 90.00 146.34
Sites, in units of the cell vectors:
La: 0.103 0.897 0.750
La: 0.897 0.103 0.250
Ce: 0.368 0.632 0.556
Ce: 0.368 0.632 0.944
Ce: 0.632 0.368 0.056
Ce: 0.632 0.368 0.444
Ni: 0.160 0.840 0.250
Ni: 0.840 0.160 0.750
N: 0.000 0.000 0.000
N: 0.000 0.000 0.500
N: 0.265 0.735 0.118
N: 0.265 0.735 0.382
N: 0.442 0.558 0.750
N: 0.558 0.442 0.250
N: 0.735 0.265 0.618
N: 0.735 0.265 0.882

Properties
For the uncorrected formation energy, the calculation gives -9.171 eV per formula unit. The value obtained for the raw total energy is -130.10 eV/cell. Its total moment is 2.07 μB/cell.

***

# 19
DFT (PBE-GGA) results for crystalline La2CeNpN4 at its relaxed geometry.

abc: 6.209 3.592 6.285
angles: 90.00 108.83 90.00
Sites, in units of the cell vectors:
La: 0.000 0.000 0.000
La: 0.500 0.500 0.000
Ce: 0.000 0.500 0.500
Np: 0.500 0.000 0.500
N: 0.258 0.000 0.713
N: 0.275 0.500 0.289
N: 0.725 0.500 0.711
N: 0.742 0.000 0.287

Properties
For the uncorrected formation energy, the calculation gives -10.585 eV per formula unit. The value obtained for the raw total energy is -72.62 eV/cell. Its total moment is 2.84 μB/cell.

***

# 20
DFT (PBE-GGA) results for crystalline La3Ce2NpN6 at its relaxed geometry.

abc: 6.236 6.236 6.303
angles: 99.53 99.53 119.92
Sites, in units of the cell vectors:
La: 0.000 0.000 0.000
La: 0.332 0.668 0.000
La: 0.668 0.332 0.000
Ce: 0.166 0.834 0.500
Ce: 0.834 0.166 0.500
Np: 0.500 0.500 0.500
N: 0.119 0.429 0.289
N: 0.260 0.260 0.719
N: 0.429 0.119 0.289
N: 0.571 0.881 0.711
N: 0.740 0.740 0.281
N: 0.881 0.571 0.711

Properties
For the uncorrected formation energy, the calculation gives -16.326 eV per formula unit. The value obtained for the raw total energy is -105.87 eV/cell. Its total moment is 2.44 μB/cell.